(1)
{"formula": "Rh2SeCl", "functional": "PBE", "state": "relaxed", "e_tot_ev_per_atom": -4.742, "spacegroup": "Cmm2 (35)", "lattice_angstrom": [[1.450, -2.625, 0.000], [1.450, 2.625, 0.000], [0.000, 0.000, 9.544]], "species": ["Rh", "Rh", "Se", "Cl"], "frac_coords": [[0.000, 0.000, 0.000], [0.500, 0.500, 0.240], [0.500, 0.500, 0.791], [0.000, 0.000, 0.437]]}

=====

(2)
{"formula": "Sn3Hg2Br6", "functional": "PBE", "state": "relaxed", "e_tot_ev_per_atom": -2.654, "spacegroup": "C2/m (12)", "lattice_angstrom": [[3.789, -6.559, 0.000], [3.789, 6.559, 0.000], [-2.541, 0.000, 9.783]], "species": ["Sn", "Sn", "Sn", "Hg", "Hg", "Br", "Br", "Br", "Br", "Br", "Br"], "frac_coords": [[0.000, 0.000, 0.000], [0.333, 0.667, 0.000], [0.667, 0.333, 0.000], [0.165, 0.835, 0.500], [0.835, 0.165, 0.500], [0.059, 0.391, 0.171], [0.278, 0.278, 0.830], [0.391, 0.059, 0.171], [0.609, 0.941, 0.829], [0.722, 0.722, 0.170], [0.941, 0.609, 0.829]]}

=====

(3)
{"formula": "In12Hg2Bi5", "functional": "PBE", "state": "relaxed", "ef_ev_per_fu": 1.4, "spacegroup": "C2/m (12)", "lattice_angstrom": [[9.111, -3.221, 0.000], [9.111, 3.221, 0.000], [-2.554, 0.000, 10.685]], "species": ["In", "In", "In", "In", "In", "In", "In", "In", "In", "In", "In", "In", "Hg", "Hg", "Bi", "Bi", "Bi", "Bi", "Bi"], "frac_coords": [[0.002, 0.002, 0.360], [0.087, 0.563, 0.910], [0.090, 0.574, 0.417], [0.424, 0.424, 0.198], [0.426, 0.910, 0.583], [0.437, 0.913, 0.090], [0.563, 0.087, 0.910], [0.574, 0.090, 0.417], [0.576, 0.576, 0.802], [0.910, 0.426, 0.583], [0.913, 0.437, 0.090], [0.998, 0.998, 0.640], [0.240, 0.760, 0.000], [0.760, 0.240, 0.000], [0.159, 0.159, 0.831], [0.172, 0.172, 0.337], [0.500, 0.500, 0.500], [0.828, 0.828, 0.663], [0.841, 0.841, 0.169]]}

=====

(4)
{"formula": "TlCrTc2", "functional": "PBE", "state": "relaxed", "ef_ev_per_fu": 2.4, "spacegroup": "Cmmm (65)", "lattice_angstrom": [[1.547, -2.369, 0.000], [1.547, 2.369, 0.000], [0.000, 0.000, 8.879]], "species": ["Tl", "Cr", "Tc", "Tc"], "frac_coords": [[0.000, 0.000, 0.000], [0.000, 0.000, 0.500], [0.500, 0.500, 0.286], [0.500, 0.500, 0.714]]}